1.
An optimized crystal structure of Cd12GaAg7, computed with PBE.

abc: 7.676 7.676 7.676
angles: 103.66 103.66 103.66
Fractional positions:
Cd1 0.739 0.236 0.464
Cd2 0.536 0.261 0.764
Cd3 0.922 0.636 0.707
Cd4 0.293 0.078 0.364
Cd5 0.764 0.536 0.261
Cd6 0.364 0.293 0.078
Cd7 0.636 0.707 0.922
Cd8 0.236 0.464 0.739
Cd9 0.707 0.922 0.636
Cd10 0.078 0.364 0.293
Cd11 0.464 0.739 0.236
Cd12 0.261 0.764 0.536
Ga1 0.000 0.000 0.000
Ag1 0.311 0.878 0.944
Ag2 0.056 0.689 0.122
Ag3 0.122 0.056 0.689
Ag4 0.500 0.500 0.500
Ag5 0.878 0.944 0.311
Ag6 0.944 0.311 0.878
Ag7 0.689 0.122 0.056

Results
As for the formation energy: -0.006 eV/atom. As for the total energy: -1.7041 eV per atom.


2.
An optimized crystal structure of Y2Si3Rh, computed with PBE.

abc: 8.178 8.178 7.933
angles: 90.00 90.00 120.00
Fractional positions:
Y1 0.000 0.000 0.250
Y2 0.000 0.000 0.750
Y3 0.016 0.508 0.250
Y4 0.492 0.508 0.250
Y5 0.508 0.016 0.750
Y6 0.492 0.984 0.250
Y7 0.508 0.492 0.750
Y8 0.984 0.492 0.750
Si1 0.167 0.334 0.999
Si2 0.666 0.833 0.999
Si3 0.167 0.334 0.501
Si4 0.334 0.167 0.001
Si5 0.167 0.833 0.999
Si6 0.666 0.833 0.501
Si7 0.833 0.666 0.001
Si8 0.334 0.167 0.499
Si9 0.167 0.833 0.501
Si10 0.833 0.666 0.499
Si11 0.833 0.167 0.001
Si12 0.833 0.167 0.499
Rh1 0.333 0.667 0.971
Rh2 0.333 0.667 0.529
Rh3 0.667 0.333 0.029
Rh4 0.667 0.333 0.471

Results
The calculation puts the uncorrected formation energy at -0.940 eV/atom. As for the total energy: -7.0317 eV per atom.


3.
An optimized crystal structure of Ta4ReRu, computed with PBE.

abc: 5.306 5.306 5.306
angles: 60.00 60.00 60.00
Fractional positions:
Ta1 0.874 0.375 0.375
Ta2 0.375 0.375 0.874
Ta3 0.375 0.874 0.375
Ta4 0.375 0.375 0.375
Re1 0.750 0.750 0.750
Ru1 0.000 0.000 0.000

Results
As for the formation energy: 0.487 eV/atom. As for the distance to the lowest polymorph of the same formula: 825.6 meV/atom. As for the total energy: -11.0359 eV per atom.


4.
An optimized crystal structure of Sr2NdCd12Au3, computed with PBE.

abc: 8.931 8.931 8.931
angles: 62.06 62.06 62.06
Fractional positions:
Sr1 0.585 0.585 0.585
Sr2 0.415 0.415 0.415
Nd1 0.000 0.000 0.000
Cd1 0.250 0.250 0.836
Cd2 0.828 0.828 0.460
Cd3 0.460 0.828 0.828
Cd4 0.836 0.250 0.250
Cd5 0.828 0.460 0.828
Cd6 0.250 0.836 0.250
Cd7 0.750 0.750 0.164
Cd8 0.172 0.172 0.540
Cd9 0.540 0.172 0.172
Cd10 0.164 0.750 0.750
Cd11 0.172 0.540 0.172
Cd12 0.750 0.164 0.750
Au1 0.500 0.000 0.000
Au2 0.000 0.500 0.000
Au3 0.000 0.000 0.500

Results
As for the formation energy: -0.013 eV/atom. As for the total energy: -1.6215 eV per atom.


5.
An optimized crystal structure of YBe2P, computed with PBE.

abc: 3.505 3.505 5.159
angles: 90.00 90.00 90.00
Fractional positions:
Y1 0.500 0.875 0.694
P1 0.000 0.375 0.441
Be1 0.000 0.875 0.182
Be2 0.500 0.375 0.183

Results
As for the formation energy: -0.325 eV/atom. As for the total energy: -5.1570 eV per atom.


6.
An optimized crystal structure of Tb6Sm2Ho3Pu, computed with PBE.

abc: 6.154 6.154 11.740
angles: 95.03 95.03 120.05
Fractional positions:
Tb1 0.917 0.587 0.750
Tb2 0.754 0.754 0.251
Tb3 0.083 0.413 0.250
Tb4 0.587 0.917 0.750
Tb5 0.246 0.246 0.749
Tb6 0.413 0.083 0.250
Sm1 0.333 0.667 0.000
Sm2 0.667 0.333 0.000
Ho1 0.167 0.833 0.500
Ho2 0.833 0.167 0.500
Ho3 0.500 0.500 0.500
Pu1 0.000 0.000 0.000

Results
As for the formation energy: 0.046 eV/atom. As for the total energy: -5.3939 eV per atom.